Record 1
First-principles (PBE) data for a relaxed structure of MnBeGaMo, as listed in Alexandria via LeMat-Bulk.

Computed properties:
Total moment, Bohr magnetons per cell: 0.00
Formation enthalpy at 0 K, eV/atom: -0.068
Crystal system: cubic

Lattice parameters (Å, degrees): 4.103 4.103 4.103 60.00 60.00 60.00
Fractional coordinates of all 4 atoms:
Be1 0.750 0.750 0.750
Mn1 0.250 0.250 0.250
Ga1 0.500 0.500 0.500
Mo1 0.000 0.000 0.000

---

Record 2
First-principles (PBE) data for a relaxed structure of FePdN2, as listed in Alexandria via LeMat-Bulk.

Computed properties:
Total moment, Bohr magnetons per cell: 2.72
Distance to the lowest polymorph of the same formula, kJ/mol of formula units: 209
Crystal system: trigonal
E_form (uncorrected), eV per formula unit: 3.5

Lattice parameters (Å, degrees): 6.105 6.105 6.105 29.06 29.06 29.06
Fractional coordinates of all 4 atoms:
N1 0.897 0.897 0.897
N2 0.103 0.103 0.103
Pd1 0.500 0.500 0.500
Fe1 0.000 0.000 0.000

---

Record 3
First-principles (PBE) data for a relaxed structure of CaAlC2, as listed in Alexandria via LeMat-Bulk.

Computed properties:
Total moment, Bohr magnetons per cell: 0.00
Formation enthalpy at 0 K, eV/atom: 0.635
Crystal system: tetragonal

Lattice parameters (Å, degrees): 4.375 4.375 6.937 71.62 71.62 90.00
Fractional coordinates of all 8 atoms:
Ca1 0.750 0.250 0.500
Ca2 0.000 0.000 0.000
C1 0.875 0.730 0.750
C2 0.375 0.520 0.750
C3 0.480 0.125 0.250
C4 0.270 0.625 0.250
Al1 0.500 0.500 0.000
Al2 0.250 0.750 0.500

---

Record 4
First-principles (PBE) data for a relaxed structure of Y2CoTc2, as listed in Alexandria via LeMat-Bulk.

Computed properties:
Total moment, Bohr magnetons per cell: 0.00
Formation enthalpy at 0 K, eV/atom: 0.131
Crystal system: tetragonal

Lattice parameters (Å, degrees): 6.547 6.547 4.582 90.00 90.00 90.00
Fractional coordinates of all 10 atoms:
Tc1 0.873 0.627 0.000
Tc2 0.373 0.873 0.000
Tc3 0.127 0.373 0.000
Tc4 0.627 0.127 0.000
Y1 0.819 0.319 0.500
Y2 0.181 0.681 0.500
Y3 0.681 0.819 0.500
Y4 0.319 0.181 0.500
Co1 0.000 0.000 0.000
Co2 0.500 0.500 0.000

---

Record 5
First-principles (PBE) data for a relaxed structure of Be2GaI, as listed in Alexandria via LeMat-Bulk.

Computed properties:
Total moment, Bohr magnetons per cell: 0.00
Distance to the lowest polymorph of the same formula, kJ/mol of formula units: 0
Crystal system: tetragonal
E_form (uncorrected), eV per formula unit: 2.3

Lattice parameters (Å, degrees): 5.822 5.822 6.527 63.51 63.51 90.00
Fractional coordinates of all 8 atoms:
I1 0.750 0.250 0.500
I2 0.000 0.000 0.000
Ga1 0.250 0.750 0.500
Ga2 0.500 0.500 0.000
Be1 0.375 0.403 0.750
Be2 0.153 0.625 0.250
Be3 0.597 0.125 0.250
Be4 0.875 0.847 0.750

---

Record 6
First-principles (PBE) data for a relaxed structure of Lu3In, as listed in Alexandria via LeMat-Bulk.

Computed properties:
Total moment, Bohr magnetons per cell: 0.01
Formation enthalpy at 0 K, eV/atom: -0.240
Crystal system: hexagonal

Lattice parameters (Å, degrees): 5.469 6.745 6.745 120.00 90.00 90.00
Fractional coordinates of all 8 atoms:
Lu1 0.750 0.831 0.169
Lu2 0.750 0.337 0.169
Lu3 0.250 0.663 0.831
Lu4 0.250 0.169 0.337
Lu5 0.250 0.169 0.831
Lu6 0.750 0.831 0.663
In1 0.250 0.667 0.333
In2 0.750 0.333 0.667

---

no.,theoretical density (g cm⁻³)
1,7.81
2,6.65
3,2.54
4,7.32
5,4.15
6,9.86